1.
The following is a PBE-GGA calculation of a relaxed CrB2Rh2 crystal, from Alexandria via LeMat-Bulk.

## Properties
Spin magnetization, μB/cell: 0.0
Space-group type: P4/mbm
Total DFT energy (no corrections), eV/atom: -7.59
E_form, eV/atom: -0.06

Cell: 6.2424 6.2424 2.6628 Å, 90.00 90.00 90.00°
Closest atoms and distances in Å follow each position.
Sites, in units of the cell vectors:
Rh1 0.1569 0.6569 0.5000  6 B 2.20-2.31
Rh2 0.6569 0.8431 0.5000  6 B 2.20-2.31
Rh3 0.3431 0.1569 0.5000  6 B 2.20-2.31
Rh4 0.8431 0.3431 0.5000  6 B 2.20-2.31
B1 0.3549 0.8549 0.0000  6 Rh 2.20-2.31, 2 Cr 2.39
B2 0.8549 0.6451 0.0000  6 Rh 2.20-2.31, 2 Cr 2.39
B3 0.6451 0.1451 0.0000  6 Rh 2.20-2.31, 2 Cr 2.39
B4 0.1451 0.3549 0.0000  6 Rh 2.20-2.31, 2 Cr 2.39
Cr1 0.5000 0.5000 0.0000  4 B 2.39, 2 Cr 2.66
Cr2 0.0000 0.0000 0.0000  4 B 2.39, 2 Cr 2.66


2.
The following is a PBE-GGA calculation of a relaxed CrB2Rh crystal, from Alexandria via LeMat-Bulk.

## Properties
Spin magnetization, μB/cell: 2.4
Space-group type: Fm-3m
Total DFT energy (no corrections), eV/atom: -7.46
Relative energy among the computed polymorphs, meV/atom: 0
E_form, eV/atom: 0.12

Cell: 3.7765 3.7765 3.7765 Å, 60.00 60.00 60.00°
Closest atoms and distances in Å follow each position.
Sites, in units of the cell vectors:
Cr1 0.0000 0.0000 0.0000  8 B 2.31
B1 0.7500 0.7500 0.7500  4 Cr 2.31, 4 Rh 2.31
B2 0.2500 0.2500 0.2500  4 Cr 2.31, 4 Rh 2.31
Rh1 0.5000 0.5000 0.5000  8 B 2.31